Entry from Alexandria via LeMat-Bulk: crystalline NpV2Mo at its relaxed geometry (PBE-GGA).

```
NpV2Mo
1.0
4.4635 0.0000 0.0000
2.2317 3.8655 0.0000
2.2317 1.2885 3.6444
Np Mo V
1 1 2
Direct
0.0000 0.0000 0.0000
0.5000 0.5000 0.5000
0.2500 0.2500 0.2500
0.7500 0.7500 0.7500
```

The total moment comes out at 0.46 μB per atom. For the calculated formation energy, the calculation gives 287 meV per atom. Its energy above the most stable polymorph in this dataset is 0.0497 eV per atom. Its space group is Fm-3m. The value obtained for the total energy is -10.2154 eV per atom.